Record 1
Density functional theory data (PBE) for RhCl3 after structural relaxation.

Computed properties:
VASP energy: -3.842 eV per atom
Space group: No. 12

Cell: 6.080 6.080 6.485 Å, 81.15 81.15 119.97°
Fractional coordinates of all 8 atoms:
Cl  0.784  0.784  0.213
Cl  0.216  0.216  0.787
Cl  0.923  0.570  0.787
Cl  0.430  0.077  0.213
Cl  0.077  0.430  0.213
Cl  0.570  0.923  0.787
Rh  0.167  0.833  0.000
Rh  0.833  0.167  0.000

Record 2
Density functional theory data (PBE) for ScInTe2 after structural relaxation.

Computed properties:
VASP energy: -3.940 eV per atom
Space group: No. 216

Cell: 5.364 5.364 5.364 Å, 60.00 60.00 60.00°
Fractional coordinates of all 4 atoms:
In  0.500  0.500  0.500
Sc  0.750  0.750  0.750
Te  0.000  0.000  0.000
Te  0.250  0.250  0.250

Record 3
Density functional theory data (PBE) for CaCu2F6 after structural relaxation.

Computed properties:
VASP energy: -4.682 eV per atom
Space group: No. 12

Cell: 3.856 5.778 6.428 Å, 72.55 72.55 70.51°
Last column: magnetic moment on the atom in μB.
Fractional coordinates of all 9 atoms:
Ca  0.000  0.500  0.500  0.00
Cu  0.174  0.764  0.889  0.73
Cu  0.826  0.236  0.111  0.73
F  0.713  0.681  0.892  0.12
F  0.287  0.319  0.108  0.12
F  0.996  0.820  0.188  0.07
F  0.353  0.700  0.594  0.07
F  0.004  0.180  0.812  0.07
F  0.647  0.300  0.406  0.07

Record 4
Density functional theory data (PBE) for Re2NiBPb after structural relaxation.

Computed properties:
Energy relative to the elements: 3.3439 eV/atom
VASP energy: -4.869 eV per atom
Space group: No. 123

Cell: 5.167 4.141 5.167 Å, 90.00 90.00 90.00°
Last column: magnetic moment on the atom in μB.
Fractional coordinates of all 5 atoms:
Pb  0.000  0.000  0.000  -0.01
Re  0.000  0.000  0.500  2.19
Re  0.500  0.000  0.000  2.08
B  0.000  0.500  0.000  -0.08
Ni  0.500  0.500  0.500  0.97

Record 5
Density functional theory data (PBE) for ErSn2HgSe4 after structural relaxation.

Computed properties:
VASP energy: -4.054 eV per atom
Space group: No. 10

Cell: 4.172 7.323 7.525 Å, 70.46 90.00 90.00°
Fractional coordinates of all 8 atoms:
Er  0.000  0.500  0.500
Sn  0.000  0.000  0.000
Sn  0.500  0.000  0.500
Hg  0.500  0.500  0.000
Se  0.000  0.746  0.734
Se  0.000  0.254  0.266
Se  0.500  0.741  0.273
Se  0.500  0.259  0.727

Record 6
Density functional theory data (PBE) for LiHoPu2S4 after structural relaxation.

Computed properties:
VASP energy: -8.182 eV per atom
Space group: No. 10

Cell: 3.930 6.813 6.746 Å, 110.05 90.00 90.00°
Last column: magnetic moment on the atom in μB.
Fractional coordinates of all 8 atoms:
Li  0.500  0.500  0.000  0.00
Ho  0.000  0.000  0.000  -0.01
Pu  0.500  0.000  0.500  -5.17
Pu  0.000  0.500  0.500  5.21
S  0.500  0.251  0.243  -0.03
S  0.500  0.749  0.757  -0.03
S  0.000  0.252  0.759  0.03
S  0.000  0.748  0.241  0.03

Record 7
Density functional theory data (PBE) for Sm3BiO2 after structural relaxation.

Computed properties:
VASP energy: -6.804 eV per atom
Space group: No. 139

Cell: 4.686 4.686 6.788 Å, 110.19 110.19 90.00°
Fractional coordinates of all 6 atoms:
Sm  0.750  0.250  0.500
Sm  0.500  0.500  0.000
Sm  0.250  0.750  0.500
Bi  0.000  0.000  0.000
O  0.703  0.703  0.405
O  0.297  0.297  0.595

Record 8
Density functional theory data (PBE) for SrAcNdLu after structural relaxation.

Computed properties:
Energy relative to the elements: 0.1861 eV/atom
VASP energy: -3.584 eV per atom
Space group: No. 216

Cell: 6.060 6.060 6.060 Å, 60.00 60.00 60.00°
Fractional coordinates of all 4 atoms:
Sr  0.250  0.250  0.250
Ac  0.000  0.000  0.000
Lu  0.750  0.750  0.750
Nd  0.500  0.500  0.500

Record 9
Density functional theory data (PBE) for Pr2Ho6Er3Mg after structural relaxation.

Computed properties:
Energy relative to the elements: 0.0214 eV/atom
VASP energy: -4.338 eV per atom
Space group: No. 12

Cell: 6.106 6.106 11.719 Å, 95.01 95.01 120.04°
Fractional coordinates of all 12 atoms:
Pr  0.334  0.666  0.000
Pr  0.666  0.334  0.000
Ho  0.916  0.585  0.747
Ho  0.752  0.752  0.254
Ho  0.084  0.415  0.253
Ho  0.585  0.916  0.747
Ho  0.248  0.248  0.746
Ho  0.415  0.084  0.253
Er  0.166  0.834  0.500
Er  0.834  0.166  0.500
Er  0.500  0.500  0.500
Mg  0.000  0.000  0.000

Record 10
Density functional theory data (PBE) for ThMg15Pb4 after structural relaxation.

Computed properties:
Energy relative to the elements: -0.0199 eV/atom
VASP energy: -2.329 eV per atom
Space group: No. 123

Cell: 4.607 4.607 23.240 Å, 90.00 90.00 90.00°
Fractional coordinates of all 20 atoms:
Th  0.000  0.000  0.000
Mg  0.500  0.500  0.000
Mg  0.500  0.500  0.206
Mg  0.500  0.500  0.402
Mg  0.500  0.500  0.598
Mg  0.500  0.500  0.794
Mg  0.500  0.000  0.104
Mg  0.500  0.000  0.303
Mg  0.500  0.000  0.500
Mg  0.500  0.000  0.697
Mg  0.500  0.000  0.896
Mg  0.000  0.500  0.104
Mg  0.000  0.500  0.303
Mg  0.000  0.500  0.500
Mg  0.000  0.500  0.697
Mg  0.000  0.500  0.896
Pb  0.000  0.000  0.200
Pb  0.000  0.000  0.400
Pb  0.000  0.000  0.600
Pb  0.000  0.000  0.800

Record 11
Density functional theory data (PBE) for Tb5ErTm2Th after structural relaxation.

Computed properties:
Energy relative to the elements: 0.1606 eV/atom
VASP energy: -4.737 eV per atom
Space group: No. 36

Cell: 5.574 10.406 10.417 Å, 90.00 90.00 105.53°
Fractional coordinates of all 18 atoms:
Tb  0.388  0.775  0.025
Tb  0.724  0.448  0.813
Tb  0.480  0.959  0.741
Tb  0.297  0.594  0.706
Tb  0.985  0.970  0.520
Tb  0.612  0.225  0.525
Tb  0.276  0.552  0.313
Tb  0.520  0.041  0.241
Tb  0.703  0.406  0.206
Tb  0.015  0.030  0.020
Er  0.592  0.184  0.954
Er  0.408  0.816  0.454
Tm  0.887  0.774  0.813
Tm  0.112  0.224  0.736
Tm  0.113  0.226  0.313
Tm  0.888  0.776  0.236
Th  0.802  0.604  0.514
Th  0.198  0.396  0.014

Record 12
Density functional theory data (PBE) for Zr3Zn3Pt after structural relaxation.

Computed properties:
Energy relative to the elements: -0.4300 eV/atom
VASP energy: -5.502 eV per atom
Space group: No. 44

Cell: 4.255 3.261 9.746 Å, 99.63 102.61 90.00°
Fractional coordinates of all 7 atoms:
Zr  0.303  0.803  0.606
Zr  0.702  0.202  0.404
Zr  0.994  0.994  0.987
Zn  0.142  0.642  0.284
Zn  0.854  0.354  0.708
Zn  0.571  0.571  0.142
Pt  0.434  0.434  0.869